Entry 1:
The following is a DFT calculation (PBE) of PrAuN after structural relaxation.

The structure in CIF format:
```
data_PrAuN
_chemical_formula_sum 'Pr2 Au2 N2'
_cell_length_a 3.645
_cell_length_b 3.645
_cell_length_c 8.207
_cell_angle_alpha 90.00
_cell_angle_beta 90.00
_cell_angle_gamma 90.00
_space_group_name_H-M_alt 'P 1'
_space_group_IT_number 1
loop_
_space_group_symop_operation_xyz
'x,y,z'
loop_
_atom_site_label
_atom_site_type_symbol
_atom_site_fract_x
_atom_site_fract_y
_atom_site_fract_z
Pr1 Pr 0.250 0.250 0.160
Pr2 Pr 0.750 0.750 0.840
Au1 Au 0.250 0.250 0.581
Au2 Au 0.750 0.750 0.419
N1 N 0.250 0.250 0.867
N2 N 0.750 0.750 0.133
```

Values from the calculation:
final energy	-6.28	eV per atom
uncorrected formation energy	-823.5	meV/atom



Entry 2:
The following is a DFT calculation (PBE) of AcTb6Pr3Ho2 after structural relaxation.

The structure in CIF format:
```
data_AcTb6Pr3Ho2
_chemical_formula_sum 'Ac1 Tb6 Pr3 Ho2'
_cell_length_a 6.287
_cell_length_b 6.287
_cell_length_c 12.006
_cell_angle_alpha 94.99
_cell_angle_beta 94.99
_cell_angle_gamma 119.99
_space_group_name_H-M_alt 'P 1'
_space_group_IT_number 1
loop_
_space_group_symop_operation_xyz
'x,y,z'
loop_
_atom_site_label
_atom_site_type_symbol
_atom_site_fract_x
_atom_site_fract_y
_atom_site_fract_z
Ac1 Ac 0.000 0.000 0.000
Tb1 Tb 0.084 0.420 0.250
Tb2 Tb 0.253 0.253 0.750
Tb3 Tb 0.420 0.084 0.250
Tb4 Tb 0.580 0.916 0.750
Tb5 Tb 0.747 0.747 0.250
Tb6 Tb 0.916 0.580 0.750
Pr1 Pr 0.167 0.833 0.500
Pr2 Pr 0.500 0.500 0.500
Pr3 Pr 0.833 0.167 0.500
Ho1 Ho 0.333 0.667 0.000
Ho2 Ho 0.667 0.333 0.000
```

Values from the calculation:
final energy	-4.59	eV per atom
ΔH_f (0 K)	0.026	eV/atom



Entry 3:
The following is a DFT calculation (PBE) of As2PbSeS after structural relaxation.

The structure in CIF format:
```
data_As2PbSeS
_chemical_formula_sum 'As2 Pb1 Se1 S1'
_cell_length_a 5.579
_cell_length_b 5.579
_cell_length_c 5.495
_cell_angle_alpha 90.00
_cell_angle_beta 90.00
_cell_angle_gamma 90.00
_space_group_name_H-M_alt 'P 1'
_space_group_IT_number 1
loop_
_space_group_symop_operation_xyz
'x,y,z'
loop_
_atom_site_label
_atom_site_type_symbol
_atom_site_fract_x
_atom_site_fract_y
_atom_site_fract_z
As1 As 0.000 0.500 0.000
As2 As 0.500 0.000 0.000
Pb1 Pb 0.000 0.000 0.000
Se1 Se 0.000 0.000 0.500
S1 S 0.500 0.500 0.500
```

Values from the calculation:
final energy	-2.80	eV per atom
uncorrected formation energy	1321.9	meV/atom



Entry 4:
The following is a DFT calculation (PBE) of CeDyY2Se6 after structural relaxation.

The structure in CIF format:
```
data_CeDyY2Se6
_chemical_formula_sum 'Ce1 Dy1 Y2 Se6'
_cell_length_a 7.760
_cell_length_b 7.760
_cell_length_c 7.760
_cell_angle_alpha 56.07
_cell_angle_beta 56.07
_cell_angle_gamma 56.07
_space_group_name_H-M_alt 'P 1'
_space_group_IT_number 1
loop_
_space_group_symop_operation_xyz
'x,y,z'
loop_
_atom_site_label
_atom_site_type_symbol
_atom_site_fract_x
_atom_site_fract_y
_atom_site_fract_z
Ce1 Ce 0.000 0.000 0.000
Dy1 Dy 0.496 0.496 0.496
Y1 Y 0.298 0.298 0.298
Y2 Y 0.801 0.801 0.801
Se1 Se 0.091 0.686 0.415
Se2 Se 0.203 0.588 0.898
Se3 Se 0.415 0.091 0.686
Se4 Se 0.588 0.898 0.203
Se5 Se 0.686 0.415 0.091
Se6 Se 0.898 0.203 0.588
```

Values from the calculation:
final energy	-6.27	eV per atom
uncorrected formation energy	-1828.0	meV/atom



What did the second record say?
The following is a DFT calculation (PBE) of AcTb6Pr3Ho2 after structural relaxation.

The structure in CIF format:
```
data_AcTb6Pr3Ho2
_chemical_formula_sum 'Ac1 Tb6 Pr3 Ho2'
_cell_length_a 6.287
_cell_length_b 6.287
_cell_length_c 12.006
_cell_angle_alpha 94.99
_cell_angle_beta 94.99
_cell_angle_gamma 119.99
_space_group_name_H-M_alt 'P 1'
_space_group_IT_number 1
loop_
_space_group_symop_operation_xyz
'x,y,z'
loop_
_atom_site_label
_atom_site_type_symbol
_atom_site_fract_x
_atom_site_fract_y
_atom_site_fract_z
Ac1 Ac 0.000 0.000 0.000
Tb1 Tb 0.084 0.420 0.250
Tb2 Tb 0.253 0.253 0.750
Tb3 Tb 0.420 0.084 0.250
Tb4 Tb 0.580 0.916 0.750
Tb5 Tb 0.747 0.747 0.250
Tb6 Tb 0.916 0.580 0.750
Pr1 Pr 0.167 0.833 0.500
Pr2 Pr 0.500 0.500 0.500
Pr3 Pr 0.833 0.167 0.500
Ho1 Ho 0.333 0.667 0.000
Ho2 Ho 0.667 0.333 0.000
```

Values from the calculation:
final energy	-4.59	eV per atom
ΔH_f (0 K)	0.026	eV/atom



Q: Which of these has the lowest final energy?
A: PrAuN